# 1
# LaTbPmHo

A relaxed LaTbPmHo crystal (PBE, Alexandria).

Energy of formation in eV/atom: 0.108
Space-group type: F-43m, No. 216

abc: 5.767 5.767 5.767
angles: 60.00 60.00 60.00
Sites, in units of the cell vectors:
La (0.250, 0.250, 0.250)
Tb (0.000, 0.000, 0.000)
Ho (0.500, 0.500, 0.500)
Pm (0.750, 0.750, 0.750)

# 2
# La2Tb2PmHo

A relaxed La2Tb2PmHo crystal (PBE, Alexandria).

Energy of formation in eV/atom: 0.066
Space-group type: Pmc2_1, No. 26

abc: 5.742 7.092 9.980
angles: 90.00 90.00 90.00
Sites, in units of the cell vectors:
La (0.500, 0.008, 0.000)
La (0.000, 0.258, 0.171)
La (0.500, 0.508, 0.000)
La (0.000, 0.758, 0.829)
Tb (0.000, 0.258, 0.833)
Tb (0.500, 0.258, 0.334)
Tb (0.000, 0.758, 0.167)
Tb (0.500, 0.758, 0.666)
Pm (0.000, 0.007, 0.500)
Pm (0.000, 0.507, 0.500)
Ho (0.500, 0.257, 0.663)
Ho (0.500, 0.757, 0.337)

# 3
# LaTb5PmHo2

A relaxed LaTb5PmHo2 crystal (PBE, Alexandria).

Energy of formation in eV/atom: 0.278
Space-group type: I4/mcm, No. 140

abc: 8.986 8.986 9.793
angles: 117.31 117.31 90.00
Sites, in units of the cell vectors:
La (0.250, 0.250, 0.500)
La (0.750, 0.750, 0.500)
Tb (0.928, 0.428, 0.259)
Tb (0.669, 0.169, 0.741)
Tb (0.072, 0.572, 0.741)
Tb (0.169, 0.072, 0.741)
Tb (0.572, 0.669, 0.741)
Tb (0.831, 0.928, 0.259)
Tb (0.428, 0.331, 0.259)
Tb (0.331, 0.831, 0.259)
Tb (0.500, 0.500, 0.000)
Tb (0.000, 0.000, 0.000)
Pm (0.250, 0.750, 0.500)
Pm (0.750, 0.250, 0.500)
Ho (0.113, 0.387, 0.000)
Ho (0.613, 0.113, 0.000)
Ho (0.387, 0.887, 0.000)
Ho (0.887, 0.613, 0.000)

# 4
# LaTb2PmHo4

A relaxed LaTb2PmHo4 crystal (PBE, Alexandria).

Energy of formation in eV/atom: 0.018
Space-group type: C2/m, No. 12

abc: 12.368 7.156 12.363
angles: 106.83 146.35 89.97
Sites, in units of the cell vectors:
La (0.500, 0.500, 0.500)
La (0.000, 0.000, 0.000)
Tb (0.500, 0.000, 0.000)
Tb (0.500, 0.000, 0.500)
Tb (0.000, 0.000, 0.500)
Tb (0.500, 0.500, 0.000)
Pm (0.000, 0.500, 0.000)
Pm (0.000, 0.500, 0.500)
Ho (0.252, 0.749, 0.999)
Ho (0.751, 0.249, 0.499)
Ho (0.249, 0.751, 0.501)
Ho (0.748, 0.251, 0.001)
Ho (0.749, 0.751, 0.002)
Ho (0.751, 0.749, 0.498)
Ho (0.249, 0.251, 0.502)
Ho (0.251, 0.249, 0.998)

# 5
# La2TbPm2Ho2

A relaxed La2TbPm2Ho2 crystal (PBE, Alexandria).

Energy of formation in eV/atom: 0.025
Space-group type: C2/m, No. 12

abc: 5.138 6.278 8.146
angles: 97.43 90.00 114.15
Sites, in units of the cell vectors:
La (0.142, 0.284, 0.425)
La (0.858, 0.716, 0.575)
Tb (0.000, 0.000, 0.000)
Pm (0.715, 0.430, 0.140)
Pm (0.285, 0.570, 0.860)
Ho (0.570, 0.141, 0.717)
Ho (0.430, 0.859, 0.283)

# 6
# La2TbPm3Ho6

A relaxed La2TbPm3Ho6 crystal (PBE, Alexandria).

Energy of formation in eV/atom: 0.015
Space-group type: C2/m, No. 12

abc: 6.245 6.245 11.827
angles: 95.03 95.03 119.99
Sites, in units of the cell vectors:
La (0.334, 0.666, 0.000)
La (0.666, 0.334, 0.000)
Tb (0.000, 0.000, 0.000)
Pm (0.167, 0.833, 0.500)
Pm (0.833, 0.167, 0.500)
Pm (0.500, 0.500, 0.500)
Ho (0.916, 0.583, 0.749)
Ho (0.752, 0.752, 0.252)
Ho (0.084, 0.417, 0.251)
Ho (0.583, 0.916, 0.749)
Ho (0.248, 0.248, 0.748)
Ho (0.417, 0.084, 0.251)

# 7
# LaTb2Pm4Ho2

A relaxed LaTb2Pm4Ho2 crystal (PBE, Alexandria).

Energy of formation in eV/atom: 0.020
Space-group type: C2/m, No. 12

abc: 5.108 8.083 8.080
angles: 107.36 90.00 108.42
Sites, in units of the cell vectors:
La (0.000, 0.000, 0.000)
Tb (0.889, 0.777, 0.334)
Tb (0.111, 0.223, 0.666)
Pm (0.777, 0.554, 0.668)
Pm (0.223, 0.446, 0.332)
Pm (0.555, 0.110, 0.334)
Pm (0.445, 0.890, 0.666)
Ho (0.331, 0.662, 0.001)
Ho (0.669, 0.338, 0.999)

# 8
# LaTbPmHo2

A relaxed LaTbPmHo2 crystal (PBE, Alexandria).

Energy of formation in eV/atom: 0.276
Space-group type: P2/m, No. 10

abc: 5.612 8.679 7.187
angles: 90.06 90.00 90.00
Sites, in units of the cell vectors:
La (0.000, 0.000, 0.000)
La (0.000, 0.000, 0.500)
Tb (0.000, 0.500, 0.750)
Tb (0.000, 0.500, 0.250)
Pm (0.500, 0.000, 0.250)
Pm (0.500, 0.000, 0.750)
Ho (0.500, 0.678, 0.999)
Ho (0.500, 0.322, 0.501)
Ho (0.500, 0.678, 0.499)
Ho (0.500, 0.322, 0.001)

# 9
# LaPm3Ho2Te6

A relaxed LaPm3Ho2Te6 crystal (PBE, Alexandria).

Space-group type: C2/m, No. 12
Formation energy from raw total energies in eV per atom: -1.384

abc: 4.415 8.950 9.938
angles: 103.09 102.83 90.00
Sites, in units of the cell vectors:
La (0.500, 0.000, 0.000)
Pm (0.500, 0.500, 0.000)
Pm (0.839, 0.169, 0.678)
Pm (0.161, 0.831, 0.322)
Ho (0.834, 0.670, 0.668)
Ho (0.166, 0.330, 0.332)
Te (0.329, 0.908, 0.657)
Te (0.670, 0.576, 0.340)
Te (0.671, 0.092, 0.343)
Te (0.005, 0.258, 0.010)
Te (0.995, 0.742, 0.990)
Te (0.330, 0.424, 0.660)

# 10
# La2PmHoTe5

A relaxed La2PmHoTe5 crystal (PBE, Alexandria).

Space-group type: P4/mmm, No. 123
Formation energy from raw total energies in eV per atom: -0.985

abc: 5.496 5.496 11.732
angles: 90.00 90.00 90.00
Sites, in units of the cell vectors:
La (0.500, 0.500, 0.329)
La (0.500, 0.500, 0.671)
Pm (0.000, 0.000, 0.000)
Ho (0.000, 0.000, 0.500)
Te (0.000, 0.500, 0.500)
Te (0.500, 0.000, 0.500)
Te (0.000, 0.000, 0.751)
Te (0.000, 0.000, 0.249)
Te (0.500, 0.500, 0.000)

# 11
# La2Pm3HoTe6

A relaxed La2Pm3HoTe6 crystal (PBE, Alexandria).

Space-group type: C2/m, No. 12
Formation energy from raw total energies in eV per atom: -1.442

abc: 4.465 9.012 10.006
angles: 102.61 102.89 90.00
Sites, in units of the cell vectors:
La (0.833, 0.666, 0.666)
La (0.167, 0.334, 0.334)
Pm (0.500, 0.500, 0.000)
Pm (0.829, 0.165, 0.657)
Pm (0.171, 0.835, 0.343)
Ho (0.500, 0.000, 0.000)
Te (0.338, 0.924, 0.677)
Te (0.665, 0.587, 0.329)
Te (0.662, 0.076, 0.323)
Te (0.996, 0.240, 0.993)
Te (0.004, 0.760, 0.007)
Te (0.335, 0.413, 0.671)

# 12
# La3PmHo3Te8

A relaxed La3PmHo3Te8 crystal (PBE, Alexandria).

Space-group type: R-3m, No. 166
Formation energy from raw total energies in eV per atom: -1.472

abc: 8.847 8.847 8.926
angles: 119.71 90.00 120.00
Sites, in units of the cell vectors:
La (0.000, 0.000, 0.000)
La (0.000, 0.500, 0.000)
La (0.500, 0.500, 0.000)
Pm (0.000, 0.000, 0.500)
Ho (0.500, 0.000, 0.500)
Ho (0.500, 0.500, 0.500)
Ho (0.000, 0.500, 0.500)
Te (0.256, 0.512, 0.267)
Te (0.744, 0.488, 0.733)
Te (0.744, 0.489, 0.256)
Te (0.256, 0.511, 0.744)
Te (0.744, 0.012, 0.256)
Te (0.256, 0.988, 0.744)
Te (0.267, 0.012, 0.256)
Te (0.733, 0.988, 0.744)